1.
Material: ErGa2
Method: DFT, PBE-GGA
State: optimized geometry

Cell: 5.476 5.476 5.476 Å, 60.00 60.00 60.00°
Atoms (fractional coordinates):
Er 0.125 0.125 0.125
Er 0.875 0.875 0.875
Ga 0.000 0.500 0.500
Ga 0.500 0.000 0.500
Ga 0.500 0.500 0.000
Ga 0.500 0.500 0.500

---

2.
Material: Er3Ga11
Method: DFT, PBE-GGA
State: optimized geometry

Cell: 8.394 8.394 8.394 Å, 151.14 106.39 80.91°
Atoms (fractional coordinates):
Er 0.000 0.000 0.000
Er 0.321 0.321 0.000
Er 0.679 0.679 0.000
Ga 0.040 0.664 0.377
Ga 0.130 0.856 0.275
Ga 0.287 0.500 0.787
Ga 0.287 0.664 0.623
Ga 0.419 0.144 0.275
Ga 0.500 0.000 0.500
Ga 0.581 0.856 0.725
Ga 0.713 0.336 0.377
Ga 0.713 0.500 0.213
Ga 0.870 0.144 0.725
Ga 0.960 0.336 0.623

---

3.
Material: Er4Ga
Method: DFT, PBE-GGA
State: optimized geometry

Cell: 8.362 8.362 8.362 Å, 135.09 135.09 65.38°
Atoms (fractional coordinates):
Er 0.066 0.196 0.354
Er 0.213 0.566 0.370
Er 0.304 0.157 0.870
Er 0.343 0.713 0.146
Er 0.657 0.287 0.854
Er 0.696 0.843 0.130
Er 0.787 0.434 0.630
Er 0.934 0.804 0.646
Ga 0.375 0.125 0.250
Ga 0.625 0.875 0.750

---

4.
Material: Er2Ga3
Method: DFT, PBE-GGA
State: optimized geometry

Cell: 7.531 7.531 7.531 Å, 32.82 32.82 32.82°
Atoms (fractional coordinates):
Er 0.092 0.092 0.092
Er 0.908 0.908 0.908
Ga 0.345 0.345 0.345
Ga 0.500 0.500 0.500
Ga 0.655 0.655 0.655

---

5.
Material: ErGa3
Method: DFT, PBE-GGA
State: optimized geometry

Cell: 4.248 4.248 4.248 Å, 90.00 90.00 90.00°
Atoms (fractional coordinates):
Er 0.000 0.000 0.000
Ga 0.000 0.500 0.500
Ga 0.500 0.000 0.500
Ga 0.500 0.500 0.000

---

6.
Material: Er5Ga2
Method: DFT, PBE-GGA
State: optimized geometry

Cell: 8.381 8.381 7.973 Å, 96.94 96.94 43.14°
Atoms (fractional coordinates):
Er 0.124 0.876 0.750
Er 0.139 0.302 0.319
Er 0.270 0.541 0.076
Er 0.302 0.139 0.819
Er 0.459 0.730 0.424
Er 0.541 0.270 0.576
Er 0.698 0.861 0.181
Er 0.730 0.459 0.924
Er 0.861 0.698 0.681
Er 0.876 0.124 0.250
Ga 0.089 0.703 0.418
Ga 0.297 0.911 0.082
Ga 0.703 0.089 0.918
Ga 0.911 0.297 0.582

---

7.
Material: ErGa
Method: DFT, PBE-GGA
State: optimized geometry

Cell: 5.802 5.802 4.010 Å, 90.00 90.00 136.24°
Atoms (fractional coordinates):
Er 0.139 0.861 0.750
Er 0.861 0.139 0.250
Ga 0.422 0.578 0.750
Ga 0.578 0.422 0.250

---

8.
Material: Er2Ga13
Method: DFT, PBE-GGA
State: optimized geometry

Cell: 8.240 8.240 8.240 Å, 52.19 52.19 52.19°
Atoms (fractional coordinates):
Er 0.236 0.236 0.236
Er 0.764 0.764 0.764
Ga 0.000 0.000 0.000
Ga 0.147 0.741 0.741
Ga 0.148 0.502 0.502
Ga 0.259 0.259 0.853
Ga 0.259 0.853 0.259
Ga 0.498 0.498 0.852
Ga 0.498 0.852 0.498
Ga 0.502 0.148 0.502
Ga 0.502 0.502 0.148
Ga 0.741 0.147 0.741
Ga 0.741 0.741 0.147
Ga 0.852 0.498 0.498
Ga 0.853 0.259 0.259

---

In meV/atom, the formation energy from the elements values for the records above are, in order, -534; -393; -161; -522; -526; -332; -629; -118.